# 1
{
  "formula": "Nd5NpS6",
  "functional": "PBE",
  "state": "optimized geometry",
  "e_tot_ev_per_atom": -7.040,
  "formation_energy_uncorrected_ev_per_atom": -1.911,
  "m_tot_mub_per_cell": 4.4,
  "cell": [[3.501, -6.067, 0.000], [3.501, 6.067, 0.000], [-2.346, 0.000, 6.612]],
  "species": ["Nd", "Nd", "Nd", "Nd", "Nd", "Np", "S", "S", "S", "S", "S", "S"],
  "fractional_positions": [[0.000, 0.000, 0.000], [0.168, 0.832, 0.500], [0.329, 0.671, 0.000], [0.671, 0.329, 0.000], [0.832, 0.168, 0.500], [0.500, 0.500, 0.500], [0.093, 0.418, 0.255], [0.257, 0.257, 0.748], [0.418, 0.093, 0.255], [0.582, 0.907, 0.745], [0.743, 0.743, 0.252], [0.907, 0.582, 0.745]]
}

***

# 2
{
  "formula": "Pr2Nd2H",
  "functional": "PBE",
  "state": "optimized geometry",
  "e_tot_ev_per_atom": -4.665,
  "m_tot_mub_per_cell": 0.0,
  "cell": [[5.204, 0.000, 0.000], [0.000, 5.204, 0.000], [0.000, 0.000, 5.216]],
  "species": ["Pr", "Pr", "Nd", "Nd", "H"],
  "fractional_positions": [[0.000, 0.000, 0.000], [0.500, 0.500, 0.000], [0.000, 0.500, 0.500], [0.500, 0.000, 0.500], [0.000, 0.000, 0.500]]
}

***

# 3
{
  "formula": "Ba4YBe",
  "functional": "PBE",
  "state": "optimized geometry",
  "e_tot_ev_per_atom": -2.089,
  "m_tot_mub_per_cell": 1.9,
  "formation_energy_kcal_per_mol_atoms": 20.56,
  "cell": [[0.000, 5.209, 5.209], [5.209, 0.000, 5.209], [5.209, 5.209, 0.000]],
  "species": ["Ba", "Ba", "Ba", "Ba", "Y", "Be"],
  "fractional_positions": [[0.125, 0.125, 0.125], [0.125, 0.125, 0.626], [0.125, 0.626, 0.125], [0.626, 0.125, 0.125], [0.500, 0.500, 0.500], [0.750, 0.750, 0.750]]
}

***

# 4
{
  "formula": "Cs6H6Pt",
  "functional": "PBE",
  "state": "optimized geometry",
  "e_tot_ev_per_atom": -2.527,
  "m_tot_mub_per_cell": 0.1,
  "cell": [[7.761, 0.000, 0.000], [-3.880, 6.721, 0.000], [0.000, 0.000, 8.162]],
  "species": ["Cs", "Cs", "Cs", "Cs", "Cs", "Cs", "H", "H", "H", "H", "H", "H", "Pt"],
  "fractional_positions": [[0.000, 0.500, 0.236], [0.000, 0.500, 0.764], [0.500, 0.000, 0.236], [0.500, 0.000, 0.764], [0.500, 0.500, 0.236], [0.500, 0.500, 0.764], [0.000, 0.000, 0.206], [0.000, 0.000, 0.794], [0.333, 0.667, 0.000], [0.333, 0.667, 0.500], [0.667, 0.333, 0.000], [0.667, 0.333, 0.500], [0.000, 0.000, 0.000]]
}

***

# 5
{
  "formula": "NaRe2I",
  "functional": "PBE",
  "state": "optimized geometry",
  "e_tot_ev_per_atom": -5.170,
  "formation_energy_uncorrected_ev_per_atom": 1.771,
  "m_tot_mub_per_cell": 0.0,
  "e_above_lowest_polymorph_kcal_per_mol_atoms": 0.65,
  "cell": [[-4.123, 4.123, 2.516], [4.123, -4.123, 2.516], [4.123, 4.123, -2.516]],
  "species": ["Na", "Na", "Re", "Re", "Re", "Re", "I", "I"],
  "fractional_positions": [[0.000, 0.000, 0.000], [0.750, 0.250, 0.500], [0.183, 0.625, 0.058], [0.375, 0.433, 0.558], [0.567, 0.125, 0.942], [0.875, 0.817, 0.442], [0.250, 0.750, 0.500], [0.500, 0.500, 0.000]]
}

***

# 6
{
  "formula": "ScTe2Pt",
  "functional": "PBE",
  "state": "optimized geometry",
  "e_tot_ev_per_atom": -4.826,
  "formation_energy_uncorrected_ev_per_atom": -0.162,
  "m_tot_mub_per_cell": 0.0,
  "cell": [[1.959, 1.131, 8.683], [-1.959, 1.131, 8.683], [0.000, -2.262, 8.683]],
  "species": ["Sc", "Te", "Te", "Pt"],
  "fractional_positions": [[0.000, 0.000, 0.000], [0.110, 0.110, 0.110], [0.890, 0.890, 0.890], [0.500, 0.500, 0.500]]
}

***

# 7
{
  "formula": "ThMnZn",
  "functional": "PBE",
  "state": "optimized geometry",
  "e_tot_ev_per_atom": -6.002,
  "m_tot_mub_per_cell": 0.0,
  "formation_energy_kcal_per_mol_atoms": -1.10,
  "cell": [[6.241, -1.979, 0.000], [6.241, 1.979, 0.000], [-1.345, 0.000, 4.886]],
  "species": ["Th", "Th", "Mn", "Mn", "Zn", "Zn"],
  "fractional_positions": [[0.120, 0.120, 0.305], [0.880, 0.880, 0.695], [0.224, 0.224, 0.900], [0.776, 0.776, 0.100], [0.419, 0.419, 0.228], [0.581, 0.581, 0.772]]
}

***

# 8
{
  "formula": "DyErGaSi",
  "functional": "PBE",
  "state": "optimized geometry",
  "e_tot_ev_per_atom": -5.152,
  "formation_energy_uncorrected_ev_per_atom": -0.748,
  "m_tot_mub_per_cell": 0.0,
  "cell": [[3.941, 0.000, 0.000], [0.000, 2.142, 5.329], [0.000, -2.142, 5.329]],
  "species": ["Dy", "Er", "Ga", "Si"],
  "fractional_positions": [[0.000, 0.000, 0.000], [0.500, 0.281, 0.281], [0.500, 0.565, 0.565], [0.000, 0.718, 0.718]]
}

***

# 9
{
  "formula": "BaIn2SbS6",
  "functional": "PBE",
  "state": "optimized geometry",
  "e_tot_ev_per_atom": -4.281,
  "formation_energy_uncorrected_ev_per_atom": -0.652,
  "m_tot_mub_per_cell": 1.8,
  "cell": [[7.294, -5.577, 0.000], [7.294, 5.577, 0.000], [-3.592, 0.000, 7.415]],
  "species": ["Ba", "Ba", "In", "In", "In", "In", "Sb", "Sb", "S", "S", "S", "S", "S", "S", "S", "S", "S", "S", "S", "S"],
  "fractional_positions": [[0.185, 0.815, 0.750], [0.815, 0.185, 0.250], [0.219, 0.357, 0.833], [0.357, 0.219, 0.333], [0.643, 0.781, 0.667], [0.781, 0.643, 0.167], [0.214, 0.786, 0.250], [0.786, 0.214, 0.750], [0.022, 0.169, 0.653], [0.075, 0.630, 0.930], [0.169, 0.022, 0.153], [0.270, 0.421, 0.584], [0.370, 0.925, 0.570], [0.421, 0.270, 0.084], [0.579, 0.730, 0.916], [0.630, 0.075, 0.430], [0.730, 0.579, 0.416], [0.831, 0.978, 0.847], [0.925, 0.370, 0.070], [0.978, 0.831, 0.347]]
}

***

# 10
{
  "formula": "LaPm4Tm2Th",
  "functional": "PBE",
  "state": "optimized geometry",
  "e_tot_ev_per_atom": -4.993,
  "m_tot_mub_per_cell": 0.0,
  "formation_energy_kcal_per_mol_atoms": 1.01,
  "cell": [[5.750, -2.550, 0.000], [5.750, 2.550, 0.000], [-4.560, 0.000, 9.133]],
  "species": ["La", "Pm", "Pm", "Pm", "Pm", "Tm", "Tm", "Th"],
  "fractional_positions": [[0.000, 0.000, 0.000], [0.248, 0.248, 0.871], [0.253, 0.253, 0.379], [0.747, 0.747, 0.621], [0.752, 0.752, 0.129], [0.498, 0.498, 0.256], [0.502, 0.502, 0.744], [0.000, 0.000, 0.500]]
}

***

# 11
{
  "formula": "TaMnOs2",
  "functional": "PBE",
  "state": "optimized geometry",
  "e_tot_ev_per_atom": -10.219,
  "m_tot_mub_per_cell": 4.3,
  "formation_energy_kcal_per_mol_atoms": 15.01,
  "cell": [[-1.948, 1.948, 8.752], [1.948, -1.948, 8.752], [1.948, 1.948, -8.752]],
  "species": ["Ta", "Ta", "Mn", "Mn", "Os", "Os", "Os", "Os"],
  "fractional_positions": [[0.000, 0.000, 0.000], [0.750, 0.250, 0.500], [0.250, 0.750, 0.500], [0.500, 0.500, 0.000], [0.176, 0.625, 0.051], [0.375, 0.426, 0.551], [0.574, 0.125, 0.949], [0.875, 0.824, 0.449]]
}

***

# 12
{
  "formula": "Ru2Pt5Rh2",
  "functional": "PBE",
  "state": "optimized geometry",
  "e_tot_ev_per_atom": -6.892,
  "m_tot_mub_per_cell": 0.0,
  "formation_energy_kcal_per_mol_atoms": 3.66,
  "cell": [[5.919, -1.369, 0.000], [5.919, 1.369, 0.000], [-1.988, 0.000, 8.855]],
  "species": ["Ru", "Ru", "Pt", "Pt", "Pt", "Pt", "Pt", "Rh", "Rh"],
  "fractional_positions": [[0.108, 0.108, 0.300], [0.892, 0.892, 0.700], [0.000, 0.000, 0.000], [0.188, 0.188, 0.589], [0.413, 0.413, 0.216], [0.587, 0.587, 0.784], [0.812, 0.812, 0.411], [0.296, 0.296, 0.893], [0.704, 0.704, 0.107]]
}

***

# 13
{
  "formula": "MgBeAlNi",
  "functional": "PBE",
  "state": "optimized geometry",
  "e_tot_ev_per_atom": -3.847,
  "m_tot_mub_per_cell": 0.0,
  "formation_energy_kcal_per_mol_atoms": -3.13,
  "cell": [[0.000, 2.953, 2.953], [2.953, 0.000, 2.953], [2.953, 2.953, 0.000]],
  "species": ["Mg", "Be", "Al", "Ni"],
  "fractional_positions": [[0.000, 0.000, 0.000], [0.250, 0.250, 0.250], [0.500, 0.500, 0.500], [0.750, 0.750, 0.750]]
}

***

# 14
{
  "formula": "YUTc2",
  "functional": "PBE",
  "state": "optimized geometry",
  "e_tot_ev_per_atom": -9.561,
  "m_tot_mub_per_cell": 0.9,
  "e_above_lowest_polymorph_kcal_per_mol_atoms": 4.99,
  "formation_energy_kcal_per_mol_atoms": 1.39,
  "cell": [[0.000, 3.399, 3.399], [3.399, 0.000, 3.399], [3.399, 3.399, 0.000]],
  "species": ["Y", "U", "Tc", "Tc"],
  "fractional_positions": [[0.000, 0.000, 0.000], [0.500, 0.500, 0.500], [0.250, 0.250, 0.250], [0.750, 0.750, 0.750]]
}

***

# 15
{
  "formula": "RbHfAs2Br",
  "functional": "PBE",
  "state": "optimized geometry",
  "e_tot_ev_per_atom": -2.953,
  "formation_energy_uncorrected_ev_per_atom": 1.426,
  "m_tot_mub_per_cell": 0.2,
  "e_above_lowest_polymorph_kcal_per_mol_atoms": 47.52,
  "cell": [[5.426, 0.000, 0.000], [0.000, 5.426, 0.000], [0.000, 0.000, 5.553]],
  "species": ["Rb", "Hf", "As", "As", "Br"],
  "fractional_positions": [[0.000, 0.000, 0.000], [0.500, 0.500, 0.500], [0.000, 0.500, 0.000], [0.500, 0.000, 0.000], [0.000, 0.000, 0.500]]
}

***

# 16
{
  "formula": "LiZn4Au7",
  "functional": "PBE",
  "state": "optimized geometry",
  "e_tot_ev_per_atom": -2.673,
  "m_tot_mub_per_cell": 0.0,
  "formation_energy_kcal_per_mol_atoms": -4.09,
  "cell": [[5.866, -2.387, 0.000], [5.866, 2.387, 0.000], [-5.833, 0.000, 7.760]],
  "species": ["Li", "Zn", "Zn", "Zn", "Zn", "Au", "Au", "Au", "Au", "Au", "Au", "Au"],
  "fractional_positions": [[0.000, 0.000, 0.000], [0.289, 0.289, 0.664], [0.421, 0.421, 0.215], [0.579, 0.579, 0.785], [0.711, 0.711, 0.336], [0.075, 0.075, 0.321], [0.217, 0.217, 0.874], [0.357, 0.357, 0.435], [0.500, 0.500, 0.000], [0.643, 0.643, 0.565], [0.783, 0.783, 0.126], [0.925, 0.925, 0.679]]
}

***

# 17
{
  "formula": "KRbIn2F4",
  "functional": "PBE",
  "state": "optimized geometry",
  "e_tot_ev_per_atom": -3.994,
  "formation_energy_uncorrected_ev_per_atom": -2.115,
  "m_tot_mub_per_cell": 0.0,
  "cell": [[6.764, 0.000, 0.000], [0.000, 3.900, 0.000], [-2.262, 0.000, 6.591]],
  "species": ["K", "Rb", "In", "In", "F", "F", "F", "F"],
  "fractional_positions": [[0.000, 0.000, 0.000], [0.500, 0.500, 0.000], [0.000, 0.500, 0.500], [0.500, 0.000, 0.500], [0.241, 0.500, 0.243], [0.242, 0.000, 0.752], [0.758, 0.000, 0.248], [0.759, 0.500, 0.757]]
}

***

# 18
{
  "formula": "Sm2ThTa",
  "functional": "PBE",
  "state": "optimized geometry",
  "e_tot_ev_per_atom": -6.521,
  "m_tot_mub_per_cell": 0.2,
  "formation_energy_kcal_per_mol_atoms": 15.15,
  "cell": [[1.660, 0.958, 11.914], [-1.660, 0.958, 11.914], [0.000, -1.917, 11.914]],
  "species": ["Sm", "Sm", "Th", "Ta"],
  "fractional_positions": [[0.082, 0.082, 0.082], [0.918, 0.918, 0.918], [0.500, 0.500, 0.500], [0.000, 0.000, 0.000]]
}

***

# 19
{
  "formula": "La2ScSb4",
  "functional": "PBE",
  "state": "optimized geometry",
  "e_tot_ev_per_atom": -5.322,
  "formation_energy_uncorrected_ev_per_atom": -0.654,
  "m_tot_mub_per_cell": 0.0,
  "cell": [[-2.730, 2.730, 7.916], [2.730, -2.730, 7.916], [2.730, 2.730, -7.916]],
  "species": ["La", "La", "Sc", "Sb", "Sb", "Sb", "Sb"],
  "fractional_positions": [[0.121, 0.121, 0.000], [0.879, 0.879, 0.000], [0.500, 0.500, 0.000], [0.000, 0.500, 0.500], [0.320, 0.320, 0.000], [0.500, 0.000, 0.500], [0.680, 0.680, 0.000]]
}

***

# 20
{
  "formula": "Rb2PaTaN4",
  "functional": "PBE",
  "state": "optimized geometry",
  "e_tot_ev_per_atom": -7.966,
  "formation_energy_uncorrected_ev_per_atom": -0.893,
  "m_tot_mub_per_cell": 0.0,
  "cell": [[5.890, 0.000, 0.000], [0.000, 3.414, 0.000], [-1.929, 0.000, 6.724]],
  "species": ["Rb", "Rb", "Pa", "Ta", "N", "N", "N", "N"],
  "fractional_positions": [[0.000, 0.000, 0.000], [0.500, 0.500, 0.000], [0.000, 0.500, 0.500], [0.500, 0.000, 0.500], [0.240, 0.000, 0.658], [0.293, 0.500, 0.343], [0.707, 0.500, 0.657], [0.760, 0.000, 0.342]]
}